1.
The following is a GGA-PBE calculation of a relaxed Zr4TlN2 crystal, from the Alexandria database.

Summary:
Symmetry: No. 166
Formation energy from raw total energies: -1.0509 eV/atom
V: 17.420 Å³ per atom

Cell lengths 12.834, 12.834, 12.834 Å; angles 14.91, 14.91, 14.91 degrees
Fractional positions:
Zr  0.131  0.131  0.131
Zr  0.268  0.268  0.268
Zr  0.732  0.732  0.732
Zr  0.869  0.869  0.869
Tl  0.000  0.000  0.000
N  0.431  0.431  0.431
N  0.569  0.569  0.569

---

2.
The following is a GGA-PBE calculation of a relaxed ZrTl2N2 crystal, from the Alexandria database.

Summary:
Symmetry: No. 127
Formation energy from raw total energies: 0.2805 eV/atom
V: 18.521 Å³ per atom

Cell lengths 6.311, 6.311, 4.651 Å; angles 90.00, 90.00, 90.00 degrees
Fractional positions:
Zr  0.000  0.000  0.000
Zr  0.500  0.500  0.000
Tl  0.164  0.336  0.500
Tl  0.336  0.836  0.500
Tl  0.664  0.164  0.500
Tl  0.836  0.664  0.500
N  0.245  0.745  0.000
N  0.255  0.245  0.000
N  0.745  0.755  0.000
N  0.755  0.255  0.000

---

3.
The following is a GGA-PBE calculation of a relaxed Zr6Tl2N crystal, from the Alexandria database.

Summary:
Symmetry: No. 38
Formation energy from raw total energies: -0.2235 eV/atom
V: 20.805 Å³ per atom

Cell lengths 3.377, 7.993, 7.993 Å; angles 119.78, 90.00, 90.00 degrees
Fractional positions:
Zr  0.000  0.000  0.000
Zr  0.000  0.535  0.751
Zr  0.000  0.751  0.535
Zr  0.500  0.126  0.762
Zr  0.500  0.353  0.353
Zr  0.500  0.762  0.126
Tl  0.000  0.086  0.434
Tl  0.000  0.434  0.086
N  0.500  0.807  0.807

---

4.
The following is a GGA-PBE calculation of a relaxed ZrTlN3 crystal, from the Alexandria database.

Summary:
Symmetry: No. 221
Formation energy from raw total energies: 1.6143 eV/atom
V: 13.790 Å³ per atom

Cell lengths 4.101, 4.101, 4.101 Å; angles 90.00, 90.00, 90.00 degrees
Fractional positions:
Zr  0.000  0.000  0.000
Tl  0.500  0.500  0.500
N  0.000  0.500  0.500
N  0.500  0.000  0.500
N  0.500  0.500  0.000

---

5.
The following is a GGA-PBE calculation of a relaxed ZrTl2N2 crystal, from the Alexandria database.

Summary:
Symmetry: No. 139
Formation energy from raw total energies: 0.6710 eV/atom
V: 20.602 Å³ per atom

Cell lengths 4.530, 4.530, 10.038 Å; angles 90.00, 90.00, 90.00 degrees
Fractional positions:
Zr  0.000  0.000  0.000
Zr  0.500  0.500  0.500
Tl  0.000  0.500  0.250
Tl  0.000  0.500  0.750
Tl  0.500  0.000  0.250
Tl  0.500  0.000  0.750
N  0.000  0.000  0.442
N  0.000  0.000  0.558
N  0.500  0.500  0.058
N  0.500  0.500  0.942

---

6.
The following is a GGA-PBE calculation of a relaxed ZrTlN3 crystal, from the Alexandria database.

Summary:
Symmetry: No. 221
Formation energy from raw total energies: 0.6727 eV/atom
V: 16.250 Å³ per atom

Cell lengths 4.331, 4.331, 4.331 Å; angles 90.00, 90.00, 90.00 degrees
Fractional positions:
Zr  0.000  0.000  0.000
Tl  0.500  0.500  0.500
N  0.000  0.000  0.500
N  0.000  0.500  0.000
N  0.500  0.000  0.000

---

7.
The following is a GGA-PBE calculation of a relaxed Tm5N crystal, from the Alexandria database.

Summary:
Symmetry: No. 65
Formation energy from raw total energies: -0.0133 eV/atom
V: 29.000 Å³ per atom

Cell lengths 3.256, 17.620, 6.065 Å; angles 90.00, 90.00, 90.00 degrees
Fractional positions:
Tm  0.000  0.000  0.000
Tm  0.000  0.091  0.500
Tm  0.000  0.334  0.000
Tm  0.000  0.666  0.000
Tm  0.000  0.909  0.500
Tm  0.500  0.166  0.000
Tm  0.500  0.409  0.500
Tm  0.500  0.500  0.000
Tm  0.500  0.591  0.500
Tm  0.500  0.834  0.000
N  0.000  0.500  0.500
N  0.500  0.000  0.500

---

8.
The following is a GGA-PBE calculation of a relaxed Tm4N crystal, from the Alexandria database.

Summary:
Symmetry: No. 221
Formation energy from raw total energies: -0.5437 eV/atom
V: 23.130 Å³ per atom

Cell lengths 4.872, 4.872, 4.872 Å; angles 90.00, 90.00, 90.00 degrees
Fractional positions:
Tm  0.000  0.000  0.000
Tm  0.000  0.500  0.500
Tm  0.500  0.000  0.500
Tm  0.500  0.500  0.000
N  0.500  0.500  0.500

---

9.
The following is a GGA-PBE calculation of a relaxed Tm3N crystal, from the Alexandria database.

Summary:
Symmetry: No. 115
Formation energy from raw total energies: -0.5265 eV/atom
V: 26.820 Å³ per atom

Cell lengths 3.493, 3.493, 8.793 Å; angles 90.00, 90.00, 90.00 degrees
Fractional positions:
Tm  0.000  0.000  0.000
Tm  0.000  0.500  0.649
Tm  0.500  0.000  0.351
N  0.500  0.500  0.500

---

10.
The following is a GGA-PBE calculation of a relaxed TmN crystal, from the Alexandria database.

Summary:
Symmetry: No. 225
Formation energy from raw total energies: -1.8284 eV/atom
V: 13.931 Å³ per atom

Cell lengths 4.812, 4.812, 4.812 Å; angles 90.00, 90.00, 90.00 degrees
Fractional positions:
Tm  0.000  0.000  0.000
Tm  0.000  0.500  0.500
Tm  0.500  0.000  0.500
Tm  0.500  0.500  0.000
N  0.000  0.000  0.500
N  0.000  0.500  0.000
N  0.500  0.000  0.000
N  0.500  0.500  0.500

---

11.
The following is a GGA-PBE calculation of a relaxed Tm3N crystal, from the Alexandria database.

Summary:
Symmetry: No. 44
Formation energy from raw total energies: -0.5236 eV/atom
V: 22.630 Å³ per atom

Cell lengths 3.232, 9.632, 5.816 Å; angles 90.00, 90.00, 90.00 degrees
Fractional positions:
Tm  0.000  0.000  0.000
Tm  0.000  0.167  0.468
Tm  0.000  0.833  0.468
Tm  0.500  0.333  0.968
Tm  0.500  0.500  0.500
Tm  0.500  0.667  0.968
N  0.000  0.500  0.779
N  0.500  0.000  0.279

---

12.
The following is a GGA-PBE calculation of a relaxed Tm4N3 crystal, from the Alexandria database.

Summary:
Symmetry: No. 221
Formation energy from raw total energies: -1.4845 eV/atom
V: 15.918 Å³ per atom

Cell lengths 4.812, 4.812, 4.812 Å; angles 90.00, 90.00, 90.00 degrees
Fractional positions:
Tm  0.000  0.000  0.000
Tm  0.000  0.500  0.500
Tm  0.500  0.000  0.500
Tm  0.500  0.500  0.000
N  0.000  0.000  0.500
N  0.000  0.500  0.000
N  0.500  0.000  0.000